# AcPmPr5Tm2

Crystalline AcPmPr5Tm2 at its relaxed geometry (GGA-PBE, Alexandria via LeMat-Bulk).

Output
Its density of states at the Fermi level is 1.252 states/eV/atom. The value obtained for the volume is 661 Å³/cell. The formation energy is 0.145 eV/atom. For the size of the total moment, the calculation gives 0.000 μB/atom.

Lattice parameters (Å, degrees): 12.5376 12.5376 9.6127 90.00 90.00 154.08
Last column: nearest neighbours and their distance in Å.
Positions (direct):
Ac (0.1029, 0.8971, 0.5000)  5 Pr 3.43-3.75
Ac (0.8971, 0.1029, 0.0000)  5 Pr 3.43-3.75
Pm (0.2669, 0.7331, 0.1076)  4 Pr 3.16-3.52
Pm (0.7331, 0.2669, 0.6076)  4 Pr 3.16-3.52
Pr (0.0250, 0.9750, 0.8305)  3 Pr 3.32-3.59, 2 Ac 3.52-3.70, 2 Tm 3.54
Pr (0.1054, 0.8946, 0.1094)  4 Pr 3.32-3.68, 4 Tm 3.52-3.64
Pr (0.1876, 0.8124, 0.8019)  3 Tm 3.43, 3 Pm 3.52-3.55, 4 Pr 3.54-3.81, 1 Ac 3.57
Pr (0.2405, 0.7595, 0.4295)  3 Pm 3.16-3.30, 1 Ac 3.43, 2 Pr 3.54
Pr (0.4921, 0.5079, 0.6142)  2 Tm 3.47-3.82, 4 Pr 3.59-3.68
Pr (0.5079, 0.4921, 0.1142)  2 Tm 3.47-3.82, 4 Pr 3.59-3.68
Pr (0.7595, 0.2405, 0.9295)  3 Pm 3.16-3.30, 1 Ac 3.43, 2 Pr 3.54
Pr (0.8124, 0.1876, 0.3019)  3 Tm 3.43, 3 Pm 3.52-3.55, 4 Pr 3.54-3.81, 1 Ac 3.57
Pr (0.8946, 0.1054, 0.6094)  4 Pr 3.32-3.68, 4 Tm 3.52-3.64
Pr (0.9750, 0.0250, 0.3305)  3 Pr 3.32-3.59, 2 Ac 3.52-3.70, 2 Tm 3.54
Tm (0.3260, 0.6740, 0.7442)  6 Pr 3.43-3.70, 1 Pm 3.78
Tm (0.3881, 0.6119, 0.3688)  9 Pr 3.43-3.82
Tm (0.6119, 0.3881, 0.8688)  9 Pr 3.43-3.82
Tm (0.6740, 0.3260, 0.2442)  6 Pr 3.43-3.70, 1 Pm 3.78